[1]
Material: Nd2LuPa
Method: DFT, PBE-GGA
State: optimized geometry

Output
Raw total energy, eV/atom: -5.7093
Fermi-level density of states, states/eV/atom: 1.61
Density, g/cm³: 9.4
ΔH_f (0 K), eV per formula unit: 0.716

Unit cell a=3.4432 b=3.4432 c=10.3663 alpha=90.00 beta=90.00 gamma=90.00
Sites, in units of the cell vectors:
Nd (0.0000, 0.0000, 0.2365)
Nd (0.0000, 0.0000, 0.7635)
Lu (0.5000, 0.5000, 0.5000)
Pa (0.5000, 0.5000, 0.0000)


[2]
Material: RbTl3S
Method: DFT, PBE-GGA
State: optimized geometry

Output
Raw total energy, eV/atom: -2.4696
E_form (uncorrected), meV per atom: -30.8
Fermi-level density of states, states/eV/atom: 0.61
Density, g/cm³: 5.7
E above lowest polymorph, meV/atom: 0

Unit cell a=5.9821 b=5.9821 c=5.9821 alpha=90.00 beta=90.00 gamma=90.00
Sites, in units of the cell vectors:
Rb (0.0000, 0.0000, 0.0000)
Tl (0.0000, 0.5000, 0.5000)
Tl (0.5000, 0.0000, 0.5000)
Tl (0.5000, 0.5000, 0.0000)
S (0.5000, 0.5000, 0.5000)


[3]
Material: La2Sn3Ir
Method: DFT, PBE-GGA
State: optimized geometry

Output
Raw total energy, eV/atom: -5.8118
Fermi-level density of states, states/eV/atom: 0.74
Density, g/cm³: 8.6
ΔH_f (0 K), eV per formula unit: -4.146
E above lowest polymorph, meV/atom: 0

Unit cell a=6.1979 b=6.1979 c=7.6155 alpha=126.66 beta=126.66 gamma=45.66
Sites, in units of the cell vectors:
La (0.0000, 0.0000, 0.0000)
La (0.1245, 0.1245, 0.6076)
Sn (0.3790, 0.3790, 0.1917)
Sn (0.4476, 0.4476, 0.6651)
Sn (0.7393, 0.7393, 0.3836)
Ir (0.7491, 0.7491, 0.0258)


[4]
Material: PmY2Hf
Method: DFT, PBE-GGA
State: optimized geometry

Output
Raw total energy, eV/atom: -6.5163
Fermi-level density of states, states/eV/atom: 1.56
Density, g/cm³: 7.0
ΔH_f (0 K), eV per formula unit: 1.567
E above lowest polymorph, meV/atom: 266

Unit cell a=12.2802 b=12.2802 c=12.2802 alpha=15.76 beta=15.76 gamma=15.76
Sites, in units of the cell vectors:
Pm (0.0000, 0.0000, 0.0000)
Y (0.4145, 0.4145, 0.4145)
Y (0.5855, 0.5855, 0.5855)
Hf (0.5000, 0.5000, 0.5000)


Question: Among the records above, which one has the lowest Fermi-level density of states?
Answer: RbTl3S


Question: Look up the density of the third one.
Answer: 8.6 g/cm³


Question: Which formula does entry 1 have?
Answer: Nd2LuPa


What did the fourth record say?
Material: PmY2Hf
Method: DFT, PBE-GGA
State: optimized geometry

Output
Raw total energy, eV/atom: -6.5163
Fermi-level density of states, states/eV/atom: 1.56
Density, g/cm³: 7.0
ΔH_f (0 K), eV per formula unit: 1.567
E above lowest polymorph, meV/atom: 266

Unit cell a=12.2802 b=12.2802 c=12.2802 alpha=15.76 beta=15.76 gamma=15.76
Sites, in units of the cell vectors:
Pm (0.0000, 0.0000, 0.0000)
Y (0.4145, 0.4145, 0.4145)
Y (0.5855, 0.5855, 0.5855)
Hf (0.5000, 0.5000, 0.5000)